(1)
A relaxed structure of VTc2As4. Source: Alexandria via LeMat-Bulk, functional GGA-PBE.

Calculated values
* formation enthalpy at 0 K: -0.211 eV/atom
* energy above the most stable polymorph in this dataset: 55 kJ/mol of formula units
* space group: Fdd2

Unit cell a=6.939 b=6.865 c=8.543 alpha=52.16 beta=51.38 gamma=76.46
Sites, in units of the cell vectors:
V1 0.000 0.000 0.000
V2 0.250 0.250 0.250
Tc1 0.000 0.504 0.000
Tc2 0.250 0.755 0.250
Tc3 0.504 0.000 0.495
Tc4 0.755 0.250 0.746
As1 0.180 0.794 0.550
As2 0.228 0.301 0.539
As3 0.301 0.228 0.931
As4 0.319 0.711 0.949
As5 0.700 0.773 0.070
As6 0.711 0.319 0.022
As7 0.773 0.700 0.456
As8 0.794 0.180 0.477



(2)
A relaxed structure of TbBeNi2. Source: Alexandria via LeMat-Bulk, functional GGA-PBE.

Calculated values
* formation enthalpy at 0 K: -0.125 eV/atom
* energy above the most stable polymorph in this dataset: 101 kJ/mol of formula units
* space group: Pmmm

Unit cell a=3.588 b=3.732 c=4.875 alpha=90.00 beta=90.00 gamma=90.00
Sites, in units of the cell vectors:
Tb1 0.000 0.000 0.000
Be1 0.000 0.500 0.500
Ni1 0.500 0.500 0.251
Ni2 0.500 0.500 0.749



(3)
A relaxed structure of Th8TeIr3Se4. Source: Alexandria via LeMat-Bulk, functional GGA-PBE.

Calculated values
* ΔE_f (raw): -1.27 eV per atom
* space group: R-3m

Unit cell a=8.652 b=8.652 c=8.652 alpha=58.39 beta=58.39 gamma=58.39
Sites, in units of the cell vectors:
Th1 0.226 0.756 0.756
Th2 0.238 0.238 0.238
Th3 0.244 0.244 0.774
Th4 0.244 0.774 0.244
Th5 0.756 0.226 0.756
Th6 0.756 0.756 0.226
Th7 0.762 0.762 0.762
Th8 0.774 0.244 0.244
Te1 0.500 0.500 0.500
Ir1 0.000 0.000 0.500
Ir2 0.000 0.500 0.000
Ir3 0.500 0.000 0.000
Se1 0.000 0.000 0.000
Se2 0.000 0.500 0.500
Se3 0.500 0.000 0.500
Se4 0.500 0.500 0.000



(4)
A relaxed structure of PrDyTmIn. Source: Alexandria via LeMat-Bulk, functional GGA-PBE.

Calculated values
* formation enthalpy at 0 K: -0.079 eV/atom
* energy above the most stable polymorph in this dataset: 26 kJ/mol of formula units
* space group: F-43m

Unit cell a=5.484 b=5.484 c=5.484 alpha=60.00 beta=60.00 gamma=60.00
Sites, in units of the cell vectors:
Pr1 0.000 0.000 0.000
Dy1 0.750 0.750 0.750
Tm1 0.250 0.250 0.250
In1 0.500 0.500 0.500



Number 1: DFT total energy -7.13 eV/atom, V 122 Å³/f.u.. Number 2: DFT total energy -5.10 eV/atom, V 65 Å³/f.u.. Number 3: DFT total energy -7.71 eV/atom, V 441 Å³/f.u.. Number 4: DFT total energy -4.23 eV/atom, V 117 Å³/f.u..